Entry 1:
A plane-wave DFT calculation with PBE was carried out for a geometry-optimized YTc2Os structure.

The volume is 137.1 Å³/cell. The value obtained for the formation energy is 0.263 eV/atom. The value obtained for the total energy is -9.34 eV/atom.

The structure belongs to space group Imm2 (No. 44); the cell edges are 3.0919, 4.7408 and 9.3532 Å and the angles 90.00°, 90.00° and 90.00°. Symmetry generates all atoms from Y at (0.0000, 0.0000, 0.0000), Tc at (0.0000, 0.0000, 0.4981), Tc at (0.0000, 0.5000, 0.7761) and Os at (0.0000, 0.5000, 0.2248).

***

Entry 2:
A plane-wave DFT calculation with PBE was carried out for a geometry-optimized DyEr3 structure.

The volume is 497.2 Å³/cell. The value obtained for the formation energy is 0.143 eV/atom. The value obtained for the total energy is -4.43 eV/atom.

The structure belongs to space group Fm-3m (No. 225); the cell edges are 7.9224, 7.9224 and 7.9224 Å and the angles 90.00°, 90.00° and 90.00°. Symmetry generates all atoms from Dy at (0.0000, 0.0000, 0.0000), Er at (0.0000, 0.0000, 0.5000) and Er at (0.2500, 0.2500, 0.2500).

***

Entry 3:
A plane-wave DFT calculation with PBE was carried out for a geometry-optimized MgHgN structure.

The volume is 199.4 Å³/cell. Its raw formation energy is -0.137 eV per atom. The value obtained for the total energy is -3.54 eV/atom.

The structure belongs to space group P2_1/c (No. 14); the cell edges are 8.7698, 3.4880 and 6.5462 Å and the angles 90.00°, 95.18° and 90.00°. Symmetry generates all atoms from Mg at (0.1080, 0.0797, 0.1664), Hg at (0.3659, 0.6814, 0.9482) and N at (0.1422, 0.5698, 0.3558).